[1]
# Hf3Ga4W PBE optimized geometry
data_Hf3Ga4W
_chemical_formula_sum 'Hf6 Ga8 W2'
_cell_length_a 5.6233
_cell_length_b 5.6044
_cell_length_c 8.9511
_cell_angle_alpha 90.00
_cell_angle_beta 90.00
_cell_angle_gamma 90.00
_symmetry_space_group_name_H-M 'P 1'
_symmetry_Int_Tables_number 1
loop_
_symmetry_equiv_pos_as_xyz
'x,y,z'
loop_
_atom_site_label
_atom_site_type_symbol
_atom_site_fract_x
_atom_site_fract_y
_atom_site_fract_z
Hf1 Hf 0.7323 0.0593 0.0000
Hf2 Hf 0.9352 0.7212 0.2486
Hf3 Hf 0.4352 0.2788 0.2514
Hf4 Hf 0.2323 0.9407 0.5000
Hf5 Hf 0.4352 0.2788 0.7486
Hf6 Hf 0.9352 0.7212 0.7514
Ga1 Ga 0.2169 0.9893 0.0000
Ga2 Ga 0.6621 0.5438 0.0000
Ga3 Ga 0.9391 0.2263 0.2790
Ga4 Ga 0.4391 0.7737 0.2210
Ga5 Ga 0.1621 0.4562 0.5000
Ga6 Ga 0.7169 0.0107 0.5000
Ga7 Ga 0.4391 0.7737 0.7790
Ga8 Ga 0.9391 0.2263 0.7210
W1 W 0.1553 0.4725 0.0000
W2 W 0.6553 0.5275 0.5000
# Formation enthalpy at 0 K   -2.1 eV/f.u.

[2]
# HfGaW3 PBE optimized geometry
data_HfGaW3
_chemical_formula_sum 'Hf1 Ga1 W3'
_cell_length_a 4.6101
_cell_length_b 4.6101
_cell_length_c 4.6101
_cell_angle_alpha 90.00
_cell_angle_beta 90.00
_cell_angle_gamma 90.00
_symmetry_space_group_name_H-M 'P 1'
_symmetry_Int_Tables_number 1
loop_
_symmetry_equiv_pos_as_xyz
'x,y,z'
loop_
_atom_site_label
_atom_site_type_symbol
_atom_site_fract_x
_atom_site_fract_y
_atom_site_fract_z
Hf1 Hf 0.5000 0.5000 0.5000
Ga1 Ga 0.0000 0.0000 0.0000
W1 W 0.0000 0.5000 0.0000
W2 W 0.0000 0.0000 0.5000
W3 W 0.5000 0.0000 0.0000
# Formation enthalpy at 0 K   7.1 eV/f.u.
# Polymorph energy (0 for the lowest one)   0 meV/atom

[3]
# Hf3Ga4W2 PBE optimized geometry
data_Hf3Ga4W2
_chemical_formula_sum 'Hf3 Ga4 W2'
_cell_length_a 3.6269
_cell_length_b 6.3181
_cell_length_c 8.4024
_cell_angle_alpha 116.20
_cell_angle_beta 90.00
_cell_angle_gamma 106.68
_symmetry_space_group_name_H-M 'P 1'
_symmetry_Int_Tables_number 1
loop_
_symmetry_equiv_pos_as_xyz
'x,y,z'
loop_
_atom_site_label
_atom_site_type_symbol
_atom_site_fract_x
_atom_site_fract_y
_atom_site_fract_z
Hf1 Hf 0.6362 0.2724 0.6898
Hf2 Hf 0.0000 0.0000 0.0000
Hf3 Hf 0.3638 0.7276 0.3102
Ga1 Ga 0.6956 0.3913 0.0494
Ga2 Ga 0.3044 0.6087 0.9506
Ga3 Ga 0.9465 0.8930 0.6119
Ga4 Ga 0.0535 0.1070 0.3881
W1 W 0.6940 0.3880 0.3582
W2 W 0.3060 0.6120 0.6418
# Formation enthalpy at 0 K   -1.6 eV/f.u.

[4]
# Y2HfGa PBE optimized geometry
data_Y2HfGa
_chemical_formula_sum 'Y4 Hf2 Ga2'
_cell_length_a 8.2967
_cell_length_b 8.2967
_cell_length_c 6.5992
_cell_angle_alpha 51.05
_cell_angle_beta 51.05
_cell_angle_gamma 90.00
_symmetry_space_group_name_H-M 'P 1'
_symmetry_Int_Tables_number 1
loop_
_symmetry_equiv_pos_as_xyz
'x,y,z'
loop_
_atom_site_label
_atom_site_type_symbol
_atom_site_fract_x
_atom_site_fract_y
_atom_site_fract_z
Y1 Y 0.5892 0.1250 0.2500
Y2 Y 0.1608 0.6250 0.2500
Y3 Y 0.3750 0.4108 0.7500
Y4 Y 0.8750 0.8392 0.7500
Hf1 Hf 0.0000 0.0000 0.0000
Hf2 Hf 0.7500 0.2500 0.5000
Ga1 Ga 0.5000 0.5000 0.0000
Ga2 Ga 0.2500 0.7500 0.5000
# Formation enthalpy at 0 K   0.8 eV/f.u.

[5]
# Y2HfGa PBE optimized geometry
data_Y2HfGa
_chemical_formula_sum 'Y2 Hf1 Ga1'
_cell_length_a 3.4239
_cell_length_b 3.4239
_cell_length_c 8.5520
_cell_angle_alpha 90.00
_cell_angle_beta 90.00
_cell_angle_gamma 90.00
_symmetry_space_group_name_H-M 'P 1'
_symmetry_Int_Tables_number 1
loop_
_symmetry_equiv_pos_as_xyz
'x,y,z'
loop_
_atom_site_label
_atom_site_type_symbol
_atom_site_fract_x
_atom_site_fract_y
_atom_site_fract_z
Y1 Y 0.0000 0.0000 0.7713
Y2 Y 0.0000 0.0000 0.2287
Hf1 Hf 0.5000 0.5000 0.5000
Ga1 Ga 0.5000 0.5000 0.0000
# Formation enthalpy at 0 K   -0.8 eV/f.u.

[6]
# YHf2Ga8 PBE optimized geometry
data_YHf2Ga8
_chemical_formula_sum 'Y1 Hf2 Ga8'
_cell_length_a 5.4048
_cell_length_b 7.2686
_cell_length_c 7.1067
_cell_angle_alpha 59.24
_cell_angle_beta 79.20
_cell_angle_gamma 68.51
_symmetry_space_group_name_H-M 'P 1'
_symmetry_Int_Tables_number 1
loop_
_symmetry_equiv_pos_as_xyz
'x,y,z'
loop_
_atom_site_label
_atom_site_type_symbol
_atom_site_fract_x
_atom_site_fract_y
_atom_site_fract_z
Y1 Y 0.5000 0.0000 0.0000
Hf1 Hf 0.0000 0.2846 0.4307
Hf2 Hf 0.0000 0.7154 0.5693
Ga1 Ga 0.8127 0.1258 0.2097
Ga2 Ga 0.8127 0.3354 0.7903
Ga3 Ga 0.2601 0.4260 0.0000
Ga4 Ga 0.5000 0.7558 0.4884
Ga5 Ga 0.5000 0.2442 0.5116
Ga6 Ga 0.7399 0.5740 0.0000
Ga7 Ga 0.1873 0.6646 0.2097
Ga8 Ga 0.1873 0.8742 0.7903
# Formation enthalpy at 0 K   -1.9 eV/f.u.

[7]
# YHfGa3 PBE optimized geometry
data_YHfGa3
_chemical_formula_sum 'Y1 Hf1 Ga3'
_cell_length_a 5.1342
_cell_length_b 5.1342
_cell_length_c 5.1342
_cell_angle_alpha 90.00
_cell_angle_beta 90.00
_cell_angle_gamma 90.00
_symmetry_space_group_name_H-M 'P 1'
_symmetry_Int_Tables_number 1
loop_
_symmetry_equiv_pos_as_xyz
'x,y,z'
loop_
_atom_site_label
_atom_site_type_symbol
_atom_site_fract_x
_atom_site_fract_y
_atom_site_fract_z
Y1 Y 0.0000 0.0000 0.0000
Hf1 Hf 0.5000 0.5000 0.5000
Ga1 Ga 0.0000 0.5000 0.0000
Ga2 Ga 0.0000 0.0000 0.5000
Ga3 Ga 0.5000 0.0000 0.0000
# Formation enthalpy at 0 K   4.8 eV/f.u.
# Polymorph energy (0 for the lowest one)   1530 meV/atom

[8]
# Y2HfGa2 PBE optimized geometry
data_Y2HfGa2
_chemical_formula_sum 'Y4 Hf2 Ga4'
_cell_length_a 7.3608
_cell_length_b 7.3608
_cell_length_c 4.3266
_cell_angle_alpha 90.00
_cell_angle_beta 90.00
_cell_angle_gamma 90.00
_symmetry_space_group_name_H-M 'P 1'
_symmetry_Int_Tables_number 1
loop_
_symmetry_equiv_pos_as_xyz
'x,y,z'
loop_
_atom_site_label
_atom_site_type_symbol
_atom_site_fract_x
_atom_site_fract_y
_atom_site_fract_z
Y1 Y 0.1761 0.6761 0.5000
Y2 Y 0.6761 0.8239 0.5000
Y3 Y 0.8239 0.3239 0.5000
Y4 Y 0.3239 0.1761 0.5000
Hf1 Hf 0.0000 0.0000 0.0000
Hf2 Hf 0.5000 0.5000 0.0000
Ga1 Ga 0.3741 0.8741 0.0000
Ga2 Ga 0.8741 0.6259 0.0000
Ga3 Ga 0.6259 0.1259 0.0000
Ga4 Ga 0.1259 0.3741 0.0000
# Formation enthalpy at 0 K   -2.3 eV/f.u.

[9]
# Y2HfGa PBE optimized geometry
data_Y2HfGa
_chemical_formula_sum 'Y2 Hf1 Ga1'
_cell_length_a 3.3073
_cell_length_b 3.3073
_cell_length_c 11.2801
_cell_angle_alpha 81.57
_cell_angle_beta 81.57
_cell_angle_gamma 60.00
_symmetry_space_group_name_H-M 'P 1'
_symmetry_Int_Tables_number 1
loop_
_symmetry_equiv_pos_as_xyz
'x,y,z'
loop_
_atom_site_label
_atom_site_type_symbol
_atom_site_fract_x
_atom_site_fract_y
_atom_site_fract_z
Y1 Y 0.0969 0.0969 0.7092
Y2 Y 0.9031 0.9031 0.2908
Hf1 Hf 0.0000 0.0000 0.0000
Ga1 Ga 0.5000 0.5000 0.5000
# Formation enthalpy at 0 K   0.7 eV/f.u.

[10]
# YHfGa3 PBE optimized geometry
data_YHfGa3
_chemical_formula_sum 'Y2 Hf2 Ga6'
_cell_length_a 4.0337
_cell_length_b 3.9872
_cell_length_c 12.6504
_cell_angle_alpha 99.07
_cell_angle_beta 90.00
_cell_angle_gamma 90.00
_symmetry_space_group_name_H-M 'P 1'
_symmetry_Int_Tables_number 1
loop_
_symmetry_equiv_pos_as_xyz
'x,y,z'
loop_
_atom_site_label
_atom_site_type_symbol
_atom_site_fract_x
_atom_site_fract_y
_atom_site_fract_z
Y1 Y 0.2500 0.0763 0.1526
Y2 Y 0.7500 0.9237 0.8474
Hf1 Hf 0.2500 0.7929 0.5857
Hf2 Hf 0.7500 0.2071 0.4143
Ga1 Ga 0.2500 0.3761 0.7522
Ga2 Ga 0.7500 0.6239 0.2478
Ga3 Ga 0.2500 0.4743 0.9486
Ga4 Ga 0.7500 0.5257 0.0514
Ga5 Ga 0.7500 0.3170 0.6340
Ga6 Ga 0.2500 0.6830 0.3660
# Formation enthalpy at 0 K   -2.8 eV/f.u.
# Polymorph energy (0 for the lowest one)   0 meV/atom

[11]
# Y3HfGa12 PBE optimized geometry
data_Y3HfGa12
_chemical_formula_sum 'Y3 Hf1 Ga12'
_cell_length_a 4.2275
_cell_length_b 4.2275
_cell_length_c 17.0230
_cell_angle_alpha 90.00
_cell_angle_beta 90.00
_cell_angle_gamma 90.00
_symmetry_space_group_name_H-M 'P 1'
_symmetry_Int_Tables_number 1
loop_
_symmetry_equiv_pos_as_xyz
'x,y,z'
loop_
_atom_site_label
_atom_site_type_symbol
_atom_site_fract_x
_atom_site_fract_y
_atom_site_fract_z
Y1 Y 0.0000 0.0000 0.2437
Y2 Y 0.0000 0.0000 0.5000
Y3 Y 0.0000 0.0000 0.7563
Hf1 Hf 0.0000 0.0000 0.0000
Ga1 Ga 0.5000 0.5000 0.0000
Ga2 Ga 0.5000 0.5000 0.2493
Ga3 Ga 0.5000 0.5000 0.5000
Ga4 Ga 0.5000 0.5000 0.7507
Ga5 Ga 0.5000 0.0000 0.1184
Ga6 Ga 0.5000 0.0000 0.3726
Ga7 Ga 0.5000 0.0000 0.6274
Ga8 Ga 0.5000 0.0000 0.8816
Ga9 Ga 0.0000 0.5000 0.1184
Ga10 Ga 0.0000 0.5000 0.3726
Ga11 Ga 0.0000 0.5000 0.6274
Ga12 Ga 0.0000 0.5000 0.8816
# Formation enthalpy at 0 K   -7.9 eV/f.u.

[12]
# Y2Hf2Ga PBE optimized geometry
data_Y2Hf2Ga
_chemical_formula_sum 'Y4 Hf4 Ga2'
_cell_length_a 7.2931
_cell_length_b 7.2931
_cell_length_c 4.8103
_cell_angle_alpha 90.00
_cell_angle_beta 90.00
_cell_angle_gamma 90.00
_symmetry_space_group_name_H-M 'P 1'
_symmetry_Int_Tables_number 1
loop_
_symmetry_equiv_pos_as_xyz
'x,y,z'
loop_
_atom_site_label
_atom_site_type_symbol
_atom_site_fract_x
_atom_site_fract_y
_atom_site_fract_z
Y1 Y 0.1595 0.6595 0.5000
Y2 Y 0.6595 0.8405 0.5000
Y3 Y 0.8405 0.3405 0.5000
Y4 Y 0.3405 0.1595 0.5000
Hf1 Hf 0.3580 0.8580 0.0000
Hf2 Hf 0.8580 0.6420 0.0000
Hf3 Hf 0.6420 0.1420 0.0000
Hf4 Hf 0.1420 0.3580 0.0000
Ga1 Ga 0.0000 0.0000 0.0000
Ga2 Ga 0.5000 0.5000 0.0000
# Formation enthalpy at 0 K   0.1 eV/f.u.